Entry 1:
Crystalline TeRh3Pb at its relaxed geometry, computed with PBE.

The calculation puts the uncorrected formation energy at -61 meV per atom. Its space-group type is C2/m (12). As for the energy above the most stable polymorph in this dataset: 0.0 meV per atom. As for the crystal system: monoclinic.

abc: 6.6798 6.6798 8.4423
angles: 117.59 117.59 35.85
Last column: nearest neighbours and their distance in Å.
Positions (direct):
Te 0.1287 0.1287 0.4866  7 Rh 2.54-2.79
Te 0.8713 0.8713 0.5134  7 Rh 2.54-2.79
Rh 0.1003 0.1003 0.7699  2 Te 2.59-2.65, 3 Pb 2.77-2.89
Rh 0.2522 0.2522 0.2897  3 Te 2.70-2.79, 2 Pb 2.92, 4 Rh 2.96-2.99
Rh 0.4157 0.4157 0.7123  2 Te 2.54, 2 Pb 2.74
Rh 0.5843 0.5843 0.2877  2 Te 2.54, 2 Pb 2.74
Rh 0.7478 0.7478 0.7103  3 Te 2.70-2.79, 2 Pb 2.92, 4 Rh 2.96-2.99
Rh 0.8997 0.8997 0.2301  2 Te 2.59-2.65, 3 Pb 2.77-2.89
Pb 0.3599 0.3599 0.9880  7 Rh 2.74-2.92
Pb 0.6401 0.6401 0.0120  7 Rh 2.74-2.92



Entry 2:
Crystalline ZrAsI2 at its relaxed geometry, computed with PBE.

The calculation puts the uncorrected formation energy at -605 meV per atom. Its space-group type is Cm (8). As for the energy above the most stable polymorph in this dataset: 178.6 meV per atom. As for the crystal system: monoclinic.

abc: 9.3515 9.3515 3.7883
angles: 98.35 98.35 24.17
Last column: nearest neighbours and their distance in Å.
Positions (direct):
Zr 0.0000 0.0000 0.0000  4 As 2.77, 3 I 2.85-3.03
As 0.4731 0.4731 0.4802  4 Zr 2.77
I 0.1305 0.1305 0.5945  2 Zr 3.02-3.03
I 0.8427 0.8427 0.8863  1 Zr 2.85



Entry 3:
Crystalline La5Bi2Ru at its relaxed geometry, computed with PBE.

Its space-group type is Pnma (62). As for the energy above the most stable polymorph in this dataset: 0.0 meV per atom. As for the crystal system: orthorhombic.

abc: 13.0258 9.3205 8.4988
angles: 90.00 90.00 90.00
Last column: nearest neighbours and their distance in Å.
Positions (direct):
La 0.0040 0.2500 0.0466  1 Ru 3.21, 4 Bi 3.34-3.35
La 0.0624 0.5366 0.3161  2 Ru 2.90-3.13
La 0.0624 0.9634 0.3161  2 Ru 2.90-3.13
La 0.1938 0.2500 0.6146  1 Ru 2.85
La 0.1980 0.7500 0.6451  1 Ru 2.81
La 0.3020 0.2500 0.1451  1 Ru 2.81
La 0.3062 0.7500 0.1146  1 Ru 2.85
La 0.4376 0.0366 0.8161  2 Ru 2.90-3.13
La 0.4376 0.4634 0.8161  2 Ru 2.90-3.13
La 0.4960 0.7500 0.5466  1 Ru 3.21, 4 Bi 3.34-3.35
La 0.5040 0.2500 0.4534  1 Ru 3.21, 4 Bi 3.34-3.35
La 0.5624 0.5366 0.1839  2 Ru 2.90-3.13
La 0.5624 0.9634 0.1839  2 Ru 2.90-3.13
La 0.6938 0.2500 0.8854  1 Ru 2.85
La 0.6980 0.7500 0.8549  1 Ru 2.81
La 0.8020 0.2500 0.3549  1 Ru 2.81
La 0.8062 0.7500 0.3854  1 Ru 2.85
La 0.9376 0.0366 0.6839  2 Ru 2.90-3.13
La 0.9376 0.4634 0.6839  2 Ru 2.90-3.13
La 0.9960 0.7500 0.9534  1 Ru 3.21, 4 Bi 3.34-3.35
Bi 0.1735 0.0078 0.9196  9 La 3.34-3.69
Bi 0.1735 0.4922 0.9196  9 La 3.34-3.69
Bi 0.3265 0.5078 0.4196  9 La 3.34-3.69
Bi 0.3265 0.9922 0.4196  9 La 3.34-3.69
Bi 0.6735 0.0078 0.5804  9 La 3.34-3.69
Bi 0.6735 0.4922 0.5804  9 La 3.34-3.69
Bi 0.8265 0.5078 0.0804  9 La 3.34-3.69
Bi 0.8265 0.9922 0.0804  9 La 3.34-3.69
Ru 0.0133 0.2500 0.4243  6 La 2.81-3.13
Ru 0.4867 0.7500 0.9243  6 La 2.81-3.13
Ru 0.5133 0.2500 0.0757  6 La 2.81-3.13
Ru 0.9867 0.7500 0.5757  6 La 2.81-3.13



Entry 4:
Crystalline MnSn2Hg at its relaxed geometry, computed with PBE.

Its space-group type is R-3m (166). As for the energy above the most stable polymorph in this dataset: 0.0 meV per atom. As for the crystal system: trigonal.

abc: 9.9905 9.9905 9.9905
angles: 19.15 19.15 19.15
Last column: nearest neighbours and their distance in Å.
Positions (direct):
Mn 0.0000 0.0000 0.0000  6 Sn 2.80
Sn 0.4025 0.4025 0.4025  3 Mn 2.80, 1 Hg 2.87
Sn 0.5975 0.5975 0.5975  3 Mn 2.80, 1 Hg 2.87
Hg 0.5000 0.5000 0.5000  2 Sn 2.87



Entry 5:
Crystalline SmSiOs at its relaxed geometry, computed with PBE.

The calculation puts the uncorrected formation energy at -401 meV per atom. Its space-group type is C2/c (15). As for the crystal system: monoclinic.

abc: 9.8369 9.8369 11.5229
angles: 104.34 104.34 19.68
Last column: nearest neighbours and their distance in Å.
Positions (direct):
Sm 0.0785 0.5826 0.3520  4 Os 3.01-3.09, 4 Si 3.03-3.23, 2 Sm 3.36
Sm 0.2086 0.7914 0.7500  4 Os 2.90-3.00, 2 Si 3.04
Sm 0.4174 0.9215 0.1480  4 Os 3.01-3.09, 4 Si 3.03-3.23, 2 Sm 3.36
Sm 0.5826 0.0785 0.8520  4 Os 3.01-3.09, 4 Si 3.03-3.23, 2 Sm 3.36
Sm 0.7914 0.2086 0.2500  4 Os 2.90-3.00, 2 Si 3.04
Sm 0.9215 0.4174 0.6480  4 Os 3.01-3.09, 4 Si 3.03-3.23, 2 Sm 3.36
Si 0.0778 0.5798 0.6315  4 Os 2.45-2.52
Si 0.4202 0.9222 0.8685  4 Os 2.45-2.52
Si 0.5000 0.5000 0.0000  2 Os 2.29
Si 0.5000 0.5000 0.5000  2 Os 2.29
Si 0.5798 0.0778 0.1315  4 Os 2.45-2.52
Si 0.9222 0.4202 0.3685  4 Os 2.45-2.52
Os 0.0000 0.5000 0.0000  4 Si 2.51
Os 0.1714 0.6401 0.0663  3 Si 2.29-2.52
Os 0.3599 0.8286 0.4337  3 Si 2.29-2.52
Os 0.5000 0.0000 0.5000  4 Si 2.51
Os 0.6401 0.1714 0.5663  3 Si 2.29-2.52
Os 0.8286 0.3599 0.9337  3 Si 2.29-2.52



Entry 6:
Crystalline BeZn2Rh at its relaxed geometry, computed with PBE.

Its space-group type is Pmmm (47). As for the energy above the most stable polymorph in this dataset: 20.4 meV per atom. As for the crystal system: orthorhombic.

abc: 3.5957 3.6077 3.8837
angles: 90.00 90.00 90.00
Last column: nearest neighbours and their distance in Å.
Positions (direct):
Be 0.0000 0.0000 0.0000  4 Rh 2.55, 8 Zn 2.65
Zn 0.0000 0.5000 0.5000  4 Zn 2.55, 4 Rh 2.65, 4 Be 2.65
Zn 0.5000 0.0000 0.5000  4 Zn 2.55, 4 Be 2.65, 4 Rh 2.65
Rh 0.5000 0.5000 0.0000  4 Be 2.55, 8 Zn 2.65



Entry 7:
Crystalline Nd2InN at its relaxed geometry, computed with PBE.

The calculation puts the uncorrected formation energy at -851 meV per atom. Its space-group type is R-3m (166). As for the crystal system: trigonal.

abc: 8.5100 8.5100 8.5100
angles: 24.98 24.98 24.98
Last column: nearest neighbours and their distance in Å.
Positions (direct):
Nd 0.2233 0.2233 0.2233  3 N 2.55
Nd 0.7767 0.7767 0.7767  3 N 2.55
In 0.0000 0.0000 0.0000  6 Nd 3.45, 6 In 3.68
N 0.5000 0.5000 0.5000  6 Nd 2.55



Entry 8:
Crystalline ReSeN3 at its relaxed geometry, computed with PBE.

The calculation puts the uncorrected formation energy at 2309 meV per atom. Its space-group type is Pm-3m (221). As for the crystal system: cubic.

abc: 3.7173 3.7173 3.7173
angles: 90.00 90.00 90.00
Last column: nearest neighbours and their distance in Å.
Positions (direct):
Re 0.0000 0.0000 0.0000  12 N 2.63
Se 0.5000 0.5000 0.5000  6 N 1.86
N 0.0000 0.5000 0.5000  2 Se 1.86
N 0.5000 0.0000 0.5000  2 Se 1.86
N 0.5000 0.5000 0.0000  2 Se 1.86



Entry 9:
Crystalline PrSm2CrN4 at its relaxed geometry, computed with PBE.

The calculation puts the uncorrected formation energy at -1109 meV per atom. Its space-group type is Cmcm (63). As for the crystal system: orthorhombic.

abc: 6.1569 6.1569 11.9326
angles: 90.00 90.00 147.20
Last column: nearest neighbours and their distance in Å.
Positions (direct):
Pr 0.0959 0.9041 0.7500  6 N 2.74-2.76
Pr 0.9041 0.0959 0.2500  6 N 2.74-2.76
Sm 0.3684 0.6316 0.5434  6 N 2.39-2.59
Sm 0.3684 0.6316 0.9566  6 N 2.39-2.59
Sm 0.6316 0.3684 0.0434  6 N 2.39-2.59
Sm 0.6316 0.3684 0.4566  6 N 2.39-2.59
Cr 0.1693 0.8307 0.2500  4 N 1.82-2.01
Cr 0.8307 0.1693 0.7500  4 N 1.82-2.01
N 0.0000 0.0000 0.0000  4 Sm 2.39
N 0.0000 0.0000 0.5000  4 Sm 2.39
N 0.2667 0.7333 0.1321  1 Cr 1.82
N 0.2667 0.7333 0.3679  1 Cr 1.82
N 0.4167 0.5833 0.7500  2 Cr 2.01
N 0.5833 0.4167 0.2500  2 Cr 2.01
N 0.7333 0.2667 0.6321  1 Cr 1.82
N 0.7333 0.2667 0.8679  1 Cr 1.82



Entry 10:
Crystalline VInHgI6 at its relaxed geometry, computed with PBE.

The calculation puts the uncorrected formation energy at -397 meV per atom. Its space-group type is P312 (149). As for the crystal system: trigonal.

abc: 7.3161 7.3161 9.4260
angles: 90.00 90.00 120.00
Last column: nearest neighbours and their distance in Å.
Positions (direct):
V 0.0000 0.0000 0.0000  6 I 2.77
In 0.6667 0.3333 0.0000  6 I 2.96
Hg 0.3333 0.6667 0.5000  6 I 4.05
I 0.3135 0.0165 0.8257  1 V 2.77, 1 In 2.96
I 0.3135 0.2970 0.1743  1 V 2.77, 1 In 2.96
I 0.7030 0.0165 0.1743  1 V 2.77, 1 In 2.96
I 0.7030 0.6865 0.8257  1 V 2.77, 1 In 2.96
I 0.9835 0.2970 0.8257  1 V 2.77, 1 In 2.96
I 0.9835 0.6865 0.1743  1 V 2.77, 1 In 2.96



Entry 11:
Crystalline SrCa2Pt9 at its relaxed geometry, computed with PBE.

Its space-group type is R-3m (166). For the total energy, the calculation gives -5.76 eV per atom. As for the crystal system: trigonal.

abc: 9.3751 9.3751 9.3751
angles: 33.93 33.93 33.93
Last column: nearest neighbours and their distance in Å.
Positions (direct):
Sr 0.0000 0.0000 0.0000  18 Pt 3.16-3.53
Ca 0.1412 0.1412 0.1412  12 Pt 3.12-3.25, 3 Ca 3.43
Ca 0.8588 0.8588 0.8588  12 Pt 3.12-3.25, 3 Ca 3.43
Pt 0.0813 0.5860 0.5860  7 Pt 2.70-2.77
Pt 0.3323 0.3323 0.3323  6 Pt 2.71-2.77
Pt 0.4140 0.4140 0.9187  7 Pt 2.70-2.77
Pt 0.4140 0.9187 0.4140  7 Pt 2.70-2.77
Pt 0.5000 0.5000 0.5000  6 Pt 2.70
Pt 0.5860 0.0813 0.5860  7 Pt 2.70-2.77
Pt 0.5860 0.5860 0.0813  7 Pt 2.70-2.77
Pt 0.6677 0.6677 0.6677  6 Pt 2.71-2.77
Pt 0.9187 0.4140 0.4140  7 Pt 2.70-2.77



Entry 12:
Crystalline Pm3Bi2 at its relaxed geometry, computed with PBE.

Its space-group type is C2/m (12). As for the energy above the most stable polymorph in this dataset: 36.4 meV per atom. As for the crystal system: monoclinic.

abc: 9.9423 9.9423 12.2762
angles: 96.30 96.30 26.41
Last column: nearest neighbours and their distance in Å.
Positions (direct):
Pm 0.0000 0.0000 0.0000  6 Bi 3.19-3.23
Pm 0.0460 0.0460 0.6598  4 Bi 3.12-3.35
Pm 0.2913 0.2913 0.4037  3 Bi 3.31-3.35
Pm 0.3281 0.3281 0.1057  4 Bi 3.13-3.20
Pm 0.3522 0.3522 0.7437  5 Bi 3.13-3.28
Pm 0.6478 0.6478 0.2563  5 Bi 3.13-3.28
Pm 0.6719 0.6719 0.8943  4 Bi 3.13-3.20
Pm 0.7087 0.7087 0.5963  3 Bi 3.31-3.35
Pm 0.9540 0.9540 0.3402  4 Bi 3.12-3.35
Bi 0.1221 0.1221 0.4398  7 Pm 3.22-3.35
Bi 0.1652 0.1652 0.0761  6 Pm 3.13-3.23
Bi 0.4880 0.4880 0.1798  6 Pm 3.12-3.19
Bi 0.5120 0.5120 0.8202  6 Pm 3.12-3.19
Bi 0.8348 0.8348 0.9239  6 Pm 3.13-3.23
Bi 0.8779 0.8779 0.5602  7 Pm 3.22-3.35



Entry 13:
Crystalline Ac2Ga3CoCu12 at its relaxed geometry, computed with PBE.

Its space-group type is R-3m (166). For the total energy, the calculation gives -3.97 eV per atom. As for the crystal system: trigonal.

abc: 9.6719 9.6719 9.6719
angles: 38.07 38.07 38.07
Last column: nearest neighbours and their distance in Å.
Positions (direct):
Ac 0.1543 0.1543 0.1543  6 Cu 3.16-3.18
Ac 0.8457 0.8457 0.8457  6 Cu 3.16-3.18
Ga 0.0000 0.5000 0.5000  6 Cu 2.43-2.56
Ga 0.5000 0.0000 0.5000  6 Cu 2.43-2.56
Ga 0.5000 0.5000 0.0000  6 Cu 2.43-2.56
Co 0.5000 0.5000 0.5000  6 Cu 2.43
Cu 0.0808 0.0808 0.6942  2 Ga 2.43, 4 Cu 2.44-2.53
Cu 0.0808 0.6942 0.0808  2 Ga 2.43, 4 Cu 2.44-2.53
Cu 0.1611 0.5608 0.5608  1 Co 2.43, 4 Cu 2.52-2.53, 1 Ga 2.56
Cu 0.3058 0.9192 0.9192  2 Ga 2.43, 4 Cu 2.44-2.53
Cu 0.4392 0.4392 0.8389  1 Co 2.43, 4 Cu 2.52-2.53, 1 Ga 2.56
Cu 0.4392 0.8389 0.4392  1 Co 2.43, 4 Cu 2.52-2.53, 1 Ga 2.56
Cu 0.5608 0.1611 0.5608  1 Co 2.43, 4 Cu 2.52-2.53, 1 Ga 2.56
Cu 0.5608 0.5608 0.1611  1 Co 2.43, 4 Cu 2.52-2.53, 1 Ga 2.56
Cu 0.6942 0.0808 0.0808  2 Ga 2.43, 4 Cu 2.44-2.53
Cu 0.8389 0.4392 0.4392  1 Co 2.43, 4 Cu 2.52-2.53, 1 Ga 2.56
Cu 0.9192 0.3058 0.9192  2 Ga 2.43, 4 Cu 2.44-2.53
Cu 0.9192 0.9192 0.3058  2 Ga 2.43, 4 Cu 2.44-2.53



Entry 14:
Crystalline Cs2CdAgP at its relaxed geometry, computed with PBE.

Its space-group type is P4/mmm (123). As for the energy above the most stable polymorph in this dataset: 0.0 meV per atom. As for the crystal system: tetragonal.

abc: 7.0693 7.0693 4.6946
angles: 90.00 90.00 90.00
Last column: nearest neighbours and their distance in Å.
Positions (direct):
Cs 0.0000 0.5000 0.0000  2 P 3.53
Cs 0.5000 0.0000 0.0000  2 P 3.53
Cd 0.0000 0.0000 0.5000  8 Cs 4.24, 2 Cd 4.69
Ag 0.5000 0.5000 0.5000  2 P 2.35
P 0.5000 0.5000 0.0000  2 Ag 2.35



Entry 15:
Crystalline LiMgZr2Co at its relaxed geometry, computed with PBE.

Its space-group type is P4/mmm (123). For the total energy, the calculation gives -4.87 eV per atom. As for the crystal system: tetragonal.

abc: 4.8695 4.8695 3.9152
angles: 90.00 90.00 90.00
Last column: nearest neighbours and their distance in Å.
Positions (direct):
Li 0.0000 0.0000 0.0000  2 Co 1.96
Mg 0.5000 0.5000 0.5000  8 Zr 3.12, 4 Co 3.44
Zr 0.0000 0.5000 0.0000  2 Li 2.43
Zr 0.5000 0.0000 0.0000  2 Li 2.43
Co 0.0000 0.0000 0.5000  2 Li 1.96



Entry 16:
Crystalline AlOs2Pt at its relaxed geometry, computed with PBE.

Its space-group type is I-4m2 (119). For the total energy, the calculation gives -8.22 eV per atom. As for the crystal system: tetragonal.

abc: 4.6904 4.6904 4.6904
angles: 130.73 130.73 72.25
Last column: nearest neighbours and their distance in Å.
Positions (direct):
Al 0.0000 0.0000 0.0000  8 Os 2.72-2.77, 4 Pt 2.72
Os 0.2500 0.7500 0.5000  4 Os 2.72, 4 Al 2.72, 4 Pt 2.77
Os 0.5000 0.5000 0.0000  4 Os 2.72, 4 Pt 2.72, 4 Al 2.77
Pt 0.7500 0.2500 0.5000  8 Os 2.72-2.77, 4 Al 2.72



Entry 17:
Crystalline RbSc2Hg at its relaxed geometry, computed with PBE.

Its space-group type is R-3m (166). For the total energy, the calculation gives -3.22 eV per atom. As for the crystal system: trigonal.

abc: 11.6883 11.6883 11.6883
angles: 17.11 17.11 17.11
Last column: nearest neighbours and their distance in Å.
Positions (direct):
Rb 0.0000 0.0000 0.0000  6 Rb 3.48, 2 Sc 3.53
Sc 0.1021 0.1021 0.1021  3 Hg 3.00
Sc 0.8979 0.8979 0.8979  3 Hg 3.00
Hg 0.5000 0.5000 0.5000  6 Sc 3.00



Entry 18:
Crystalline La3FeRu at its relaxed geometry, computed with PBE.

Its space-group type is Pm-3m (221). For the total energy, the calculation gives -6.16 eV per atom. As for the crystal system: cubic.

abc: 5.0983 5.0983 5.0983
angles: 90.00 90.00 90.00
Last column: nearest neighbours and their distance in Å.
Positions (direct):
La 0.0000 0.0000 0.5000  2 Fe 2.55
La 0.0000 0.5000 0.0000  2 Fe 2.55
La 0.5000 0.0000 0.0000  2 Fe 2.55
Fe 0.0000 0.0000 0.0000  6 La 2.55
Ru 0.5000 0.5000 0.5000  12 La 3.61



Entry 19:
Crystalline PuTh2InC at its relaxed geometry, computed with PBE.

Its space-group type is P4/mmm (123). For the total energy, the calculation gives -8.49 eV per atom. As for the crystal system: tetragonal.

abc: 5.1086 5.1086 4.8290
angles: 90.00 90.00 90.00
Last column: nearest neighbours and their distance in Å.
Positions (direct):
Pu 0.0000 0.0000 0.0000  2 C 2.41
Th 0.0000 0.5000 0.5000  2 C 2.55
Th 0.5000 0.0000 0.5000  2 C 2.55
In 0.5000 0.5000 0.0000  8 Th 3.51, 4 Pu 3.61
C 0.0000 0.0000 0.5000  2 Pu 2.41, 4 Th 2.55



Entry 20:
Crystalline SnTe at its relaxed geometry, computed with PBE.

The calculation puts the uncorrected formation energy at -37 meV per atom. Its space-group type is F-43m (216). As for the crystal system: cubic.

abc: 5.0945 5.0945 5.0945
angles: 60.00 60.00 60.00
Last column: nearest neighbours and their distance in Å.
Positions (direct):
Sn 0.0000 0.0000 0.0000  4 Te 3.12
Te 0.2500 0.2500 0.2500  4 Sn 3.12



Ordered total moment results: 0.00 0.00 0.00 3.22 0.00 0.00 0.00 1.22 1.74 2.00 0.00 0.04 0.01 0.00 0.00 0.00 0.00 0.00 5.60 0.00; unit μB per formula unit.